# 1
Here is crystalline TmAgAu at its relaxed geometry from the Open Quantum Materials Database. Energies are from PBE.

```
TmAgAu
1.0
3.697 0.000 0.000
0.000 3.697 0.000
0.000 0.000 9.083
Tm Ag Au
2 2 2
direct
0.250 0.250 0.241
0.750 0.750 0.759
0.250 0.250 0.576
0.750 0.750 0.424
0.250 0.250 0.908
0.750 0.750 0.092
```

crystal system = tetragonal
calculated formation energy = -644 meV/atom
total DFT energy (no corrections) = -4.1656 eV/atom

=====

# 2
Here is crystalline TmAgAu at its relaxed geometry from the Open Quantum Materials Database. Energies are from PBE.

```
TmAgAu
1.0
0.000 3.349 3.349
3.349 0.000 3.349
3.349 3.349 0.000
Tm Ag Au
1 1 1
direct
0.000 0.000 0.000
0.750 0.750 0.750
0.250 0.250 0.250
```

crystal system = cubic
calculated formation energy = -241 meV/atom
total DFT energy (no corrections) = -3.7627 eV/atom

=====

# 3
Here is crystalline UAgAu at its relaxed geometry from the Open Quantum Materials Database. Energies are from PBE.

```
UAgAu
1.0
0.000 3.434 3.434
3.434 0.000 3.434
3.434 3.434 0.000
U Ag Au
1 1 1
direct
0.000 0.000 0.000
0.750 0.750 0.750
0.250 0.250 0.250
```

crystal system = cubic
calculated formation energy = 567 meV/atom
total DFT energy (no corrections) = -5.2286 eV/atom

=====

# 4
Here is crystalline UAgAu at its relaxed geometry from the Open Quantum Materials Database. Energies are from PBE.

```
UAgAu
1.0
0.000 3.292 3.292
3.292 0.000 3.292
3.292 3.292 0.000
U Ag Au
1 1 1
direct
0.000 0.000 0.000
0.750 0.750 0.750
0.500 0.500 0.500
```

crystal system = cubic
calculated formation energy = 467 meV/atom
total DFT energy (no corrections) = -5.3292 eV/atom

=====

# 5
Here is crystalline YAgAu at its relaxed geometry from the Open Quantum Materials Database. Energies are from PBE.

```
YAgAu
1.0
0.000 3.394 3.394
3.394 0.000 3.394
3.394 3.394 0.000
Y Ag Au
1 1 1
direct
0.000 0.000 0.000
0.750 0.750 0.750
0.250 0.250 0.250
```

crystal system = cubic
calculated formation energy = -222 meV/atom
total DFT energy (no corrections) = -4.4069 eV/atom

=====

# 6
Here is crystalline YAg6Au at its relaxed geometry from the Open Quantum Materials Database. Energies are from PBE.

```
YAg6Au
1.0
4.911 0.000 0.000
0.000 6.004 0.000
0.000 0.000 5.157
Y Ag Au
1 6 1
direct
0.000 0.000 0.000
0.000 0.264 0.499
0.000 0.500 0.998
0.000 0.736 0.499
0.500 0.000 0.647
0.500 0.260 0.176
0.500 0.740 0.176
0.500 0.500 0.685
```

crystal system = orthorhombic
calculated formation energy = -106 meV/atom
total DFT energy (no corrections) = -3.4407 eV/atom

=====

# 7
Here is crystalline YAgAu2 at its relaxed geometry from the Open Quantum Materials Database. Energies are from PBE.

```
YAgAu2
1.0
0.000 3.442 3.442
3.442 0.000 3.442
3.442 3.442 0.000
Y Ag Au
1 1 2
direct
0.000 0.000 0.000
0.250 0.250 0.250
0.500 0.500 0.500
0.750 0.750 0.750
```

crystal system = cubic
calculated formation energy = -523 meV/atom
total DFT energy (no corrections) = -4.4790 eV/atom

=====

# 8
Here is crystalline Y2Ag3Au at its relaxed geometry from the Open Quantum Materials Database. Energies are from PBE.

```
Y2Ag3Au
1.0
3.729 0.000 0.000
0.000 3.729 0.000
0.000 0.000 9.216
Y Ag Au
2 3 1
direct
0.000 0.000 0.000
0.500 0.500 0.491
0.000 0.000 0.670
0.500 0.500 0.164
0.500 0.500 0.827
0.000 0.000 0.333
```

crystal system = tetragonal
calculated formation energy = -481 meV/atom
total DFT energy (no corrections) = -4.5927 eV/atom

=====

# 9
Here is crystalline Y2AgAu3 at its relaxed geometry from the Open Quantum Materials Database. Energies are from PBE.

```
Y2AgAu3
1.0
3.746 0.000 0.000
0.000 3.746 0.000
0.000 0.000 9.146
Y Ag Au
2 1 3
direct
0.000 0.000 0.000
0.500 0.500 0.490
0.000 0.000 0.668
0.000 0.000 0.336
0.500 0.500 0.161
0.500 0.500 0.829
```

crystal system = tetragonal
calculated formation energy = -748 meV/atom
total DFT energy (no corrections) = -5.0075 eV/atom

=====

# 10
Here is crystalline YAgAu at its relaxed geometry from the Open Quantum Materials Database. Energies are from PBE.

```
YAgAu
1.0
3.746 0.000 0.000
0.000 3.746 0.000
0.000 0.000 9.174
Y Ag Au
2 2 2
direct
0.250 0.250 0.241
0.750 0.750 0.759
0.250 0.250 0.575
0.750 0.750 0.425
0.250 0.250 0.909
0.750 0.750 0.091
```

crystal system = tetragonal
calculated formation energy = -623 meV/atom
total DFT energy (no corrections) = -4.8084 eV/atom

=====

# 11
Here is crystalline YAg2Au2 at its relaxed geometry from the Open Quantum Materials Database. Energies are from PBE.

```
YAg2Au2
1.0
-2.006 2.006 6.522
2.006 -2.006 6.522
2.006 2.006 -6.522
Y Ag Au
1 2 2
direct
0.000 0.000 0.000
0.250 0.750 0.500
0.750 0.250 0.500
0.398 0.398 0.000
0.602 0.602 0.000
```

crystal system = tetragonal
calculated formation energy = -377 meV/atom
total DFT energy (no corrections) = -4.1062 eV/atom

=====

# 12
Here is crystalline Y5Ag4Au at its relaxed geometry from the Open Quantum Materials Database. Energies are from PBE.

```
Y5Ag4Au
1.0
3.625 0.000 0.000
0.000 3.625 0.000
0.000 0.000 18.141
Y Ag Au
5 4 1
direct
0.000 0.000 0.000
0.000 0.000 0.201
0.000 0.000 0.403
0.000 0.000 0.597
0.000 0.000 0.799
0.500 0.500 0.100
0.500 0.500 0.301
0.500 0.500 0.699
0.500 0.500 0.900
0.500 0.500 0.500
```

crystal system = tetragonal
calculated formation energy = -449 meV/atom
total DFT energy (no corrections) = -5.1376 eV/atom

=====

What is the calculated formation energy in the first record?
-644 meV/atom